Record 1
{
  "formula": "Tb8Tm3Pu",
  "functional": "PBE",
  "state": "optimized geometry",
  "lattice": [[-4.288, 4.288, 5.687], [4.288, -4.288, 5.687], [4.288, 4.288, -5.687]],
  "species": ["Tb", "Tb", "Tb", "Tb", "Tb", "Tb", "Tb", "Tb", "Tm", "Tm", "Tm", "Pu"],
  "frac_coords": [[0.140, 0.140, 0.747], [0.237, 0.700, 0.000], [0.300, 0.300, 0.536], [0.394, 0.394, 0.253], [0.606, 0.860, 0.000], [0.700, 0.237, 0.000], [0.763, 0.763, 0.464], [0.860, 0.606, 0.000], [0.000, 0.000, 0.000], [0.250, 0.750, 0.500], [0.750, 0.250, 0.500], [0.500, 0.500, 0.000]],
  "ef_ev_per_atom": 0.5926,
  "magmom_total_mub_per_fu": 4.3
}

Record 2
{
  "formula": "Tb4Tm2Pu",
  "functional": "PBE",
  "state": "optimized geometry",
  "lattice": [[6.088, 0.000, 0.000], [2.043, 6.707, 0.000], [0.992, -0.284, 10.440]],
  "species": ["Tb", "Tb", "Tb", "Tb", "Tb", "Tb", "Tb", "Tb", "Tm", "Tm", "Tm", "Tm", "Pu", "Pu"],
  "frac_coords": [[0.000, 0.000, 0.000], [0.001, 0.497, 0.000], [0.142, 0.215, 0.711], [0.428, 0.146, 0.150], [0.438, 0.634, 0.148], [0.705, 0.077, 0.565], [0.712, 0.566, 0.563], [0.867, 0.778, 0.285], [0.141, 0.712, 0.711], [0.277, 0.932, 0.428], [0.570, 0.356, 0.855], [0.570, 0.856, 0.855], [0.282, 0.426, 0.427], [0.860, 0.285, 0.286]],
  "ef_ev_per_atom": 0.0613,
  "magmom_total_mub_per_fu": 0.0
}

Record 3
{
  "formula": "Tb8Tm5Pu",
  "functional": "PBE",
  "state": "optimized geometry",
  "lattice": [[-4.952, 4.952, 4.541], [4.952, -4.952, 4.541], [4.952, 4.952, -4.541]],
  "species": ["Tb", "Tb", "Tb", "Tb", "Tb", "Tb", "Tb", "Tb", "Tm", "Tm", "Tm", "Tm", "Tm", "Pu"],
  "frac_coords": [[0.149, 0.273, 0.804], [0.194, 0.789, 0.897], [0.211, 0.109, 0.406], [0.469, 0.345, 0.196], [0.655, 0.851, 0.124], [0.703, 0.806, 0.594], [0.727, 0.531, 0.876], [0.891, 0.297, 0.103], [0.278, 0.544, 0.579], [0.301, 0.722, 0.266], [0.456, 0.035, 0.734], [0.750, 0.250, 0.500], [0.965, 0.699, 0.421], [0.000, 0.000, 0.000]],
  "ef_ev_per_atom": 0.2852,
  "magmom_total_mub_per_fu": 5.3
}

Record 4
{
  "formula": "Tb14TmPu",
  "functional": "PBE",
  "state": "optimized geometry",
  "lattice": [[7.101, 0.000, 0.000], [0.000, 7.101, 0.000], [0.000, 0.000, 9.991]],
  "species": ["Tb", "Tb", "Tb", "Tb", "Tb", "Tb", "Tb", "Tb", "Tb", "Tb", "Tb", "Tb", "Tb", "Tb", "Tm", "Pu"],
  "frac_coords": [[0.000, 0.000, 0.000], [0.000, 0.500, 0.000], [0.000, 0.500, 0.500], [0.249, 0.249, 0.253], [0.249, 0.249, 0.747], [0.249, 0.751, 0.253], [0.249, 0.751, 0.747], [0.500, 0.000, 0.000], [0.500, 0.000, 0.500], [0.500, 0.500, 0.000], [0.751, 0.249, 0.253], [0.751, 0.249, 0.747], [0.751, 0.751, 0.253], [0.751, 0.751, 0.747], [0.500, 0.500, 0.500], [0.000, 0.000, 0.500]],
  "ef_ev_per_atom": 0.0352,
  "magmom_total_mub_per_fu": 6.0
}

no.,volume (Å³/atom),Fermi-level density of states (states/eV/cell)
1,34.852,15.94
2,30.449,33.24
3,31.810,22.02
4,31.485,26.60